The following is a DFT calculation (GGA-PBE) of a relaxed structure of Th2Sb2N.

Structure (POSCAR):
```
Th2Sb2N
1.0
2.137 -8.013 0.000
2.137 8.013 0.000
0.000 0.000 7.988
Th Sb N
4 4 2
Cartesian
2.137 7.391 3.994
2.137 2.345 2.649
2.137 -2.345 6.643
2.137 -7.391 0.000
2.137 3.251 7.599
2.137 1.110 5.601
2.137 -1.110 1.607
2.137 -3.251 3.605
2.137 6.611 6.350
2.137 -6.611 2.356
```

Output
Fermi-level density of states in states/eV per atom: 0.64
Crystal system: orthorhombic

***

The following is a DFT calculation (GGA-PBE) of a relaxed structure of Th3SbN3.

Structure (POSCAR):
```
Th3SbN3
1.0
9.456 0.000 0.000
0.000 4.209 0.000
-4.724 0.000 8.193
Th Sb N
6 2 6
Cartesian
-0.962 1.052 3.083
-1.570 1.052 7.484
2.190 3.157 2.375
2.542 1.052 5.818
6.302 3.157 0.709
5.694 3.157 5.110
0.003 3.157 5.459
4.729 1.052 2.734
-3.191 1.052 5.931
1.194 1.052 2.456
2.732 3.157 0.196
2.000 1.052 7.997
3.538 3.157 5.737
7.923 3.157 2.262
```

Output
Polymorph energy (0 for the lowest one) in eV/atom: 0.098
Crystal system: monoclinic

***

The following is a DFT calculation (GGA-PBE) of a relaxed structure of Th3Sb3N.

Structure (POSCAR):
```
Th3Sb3N
1.0
12.989 0.000 0.000
0.000 4.399 0.000
0.000 0.000 13.844
Th Sb N
12 12 4
Cartesian
0.089 1.100 2.203
1.309 1.100 8.746
3.008 1.100 12.185
3.487 3.299 5.263
5.185 3.299 1.824
6.406 3.299 9.125
6.583 1.100 4.719
7.803 1.100 12.021
9.502 1.100 8.581
9.981 3.299 1.659
11.680 3.299 5.099
12.900 3.299 11.641
0.976 1.100 5.442
1.847 3.299 0.361
3.207 3.299 9.861
3.287 1.100 2.939
4.647 1.100 7.284
5.519 3.299 12.364
7.470 1.100 1.480
8.342 3.299 6.561
9.701 3.299 10.905
9.782 1.100 3.983
11.141 1.100 13.483
12.013 3.299 8.402
0.872 1.100 11.068
5.622 3.299 4.146
7.366 1.100 9.698
12.116 3.299 2.776
```

Output
Fermi-level density of states in states/eV per atom: 0.08
Crystal system: orthorhombic

***

The following is a DFT calculation (GGA-PBE) of a relaxed structure of Th6Sb3N.

Structure (POSCAR):
```
Th6Sb3N
1.0
6.169 -8.373 0.000
6.169 8.373 0.000
0.000 0.000 5.427
Th Sb N
12 6 2
Cartesian
6.169 7.116 2.713
4.040 3.972 2.088
6.169 4.400 4.827
4.156 1.231 0.074
4.156 -1.231 2.788
8.298 3.972 2.088
4.040 -3.972 4.801
8.182 1.231 0.074
8.182 -1.231 2.788
6.169 -4.400 2.114
8.298 -3.972 4.801
6.169 -7.116 0.000
2.090 1.442 2.807
2.090 -1.442 0.094
6.169 1.493 2.846
6.169 -1.493 0.132
10.247 1.442 2.807
10.247 -1.442 0.094
6.169 4.898 2.165
6.169 -4.898 4.878
```

Output
Fermi-level density of states in states/eV per atom: 0.92
Crystal system: orthorhombic

***

| no. | formation energy (no corrections) (eV per formula unit) | energy (eV per atom) |
| --- | --- | --- |
| 1 | -5.08 | -7.2973 |
| 2 | -9.72 | -8.7256 |
| 3 | -7.41 | -7.1948 |
| 4 | -7.17 | -7.2378 |